# 1
LiHPb3: PBEsol geometry, meta-GGA SCAN.

The structure belongs to space group Pm-3m (No. 221); the cell edges are 4.8574, 4.8574 and 4.8574 Å and the angles 90.00°, 90.00° and 90.00°. The asymmetric unit holds Li at (0.0000, 0.0000, 0.0000), H at (0.5000, 0.5000, 0.5000) and Pb at (0.0000, 0.5000, 0.5000).

For the calculated volume, the calculation gives 22.9 A^3/atom.

# 2
Li2HPd: PBEsol geometry, meta-GGA SCAN.

The structure belongs to space group Fm-3m (No. 225); the cell edges are 5.7367, 5.7367 and 5.7367 Å and the angles 90.00°, 90.00° and 90.00°. The asymmetric unit holds Li at (0.2500, 0.2500, 0.2500), H at (0.0000, 0.0000, 0.0000) and Pd at (0.0000, 0.0000, 0.5000).

For the calculated volume, the calculation gives 11.8 A^3/atom.

| no. | raw total energy (eV/atom) |
| --- | --- |
| 1 | -46.555 |
| 2 | -10.108 |